(1)
VASP calculation (GGA-PBE) on a relaxed structure of AlTl2Fe.

As for the density of states at the Fermi level: 0.679 states/eV per atom. Its crystal system is monoclinic. Its energy of formation is 0.39 eV/atom. For the final energy, the calculation gives -3.84 eV/atom.

a b c (Å): 3.8676 4.0933 5.7199
angles (deg): 68.72 90.00 90.00
Last column: nearest neighbours and their distance in Å.
Fractional positions:
Tl 0.0000 0.9800 0.9131  4 Fe 2.90-2.91, 3 Al 3.04-3.08
Tl 0.5000 0.2799 0.3164  2 Fe 2.86-3.20, 4 Al 2.96-2.97
Fe 0.5000 0.5485 0.7800  2 Al 2.47
Al 0.0000 0.6917 0.4905  2 Fe 2.47



(2)
VASP calculation (GGA-PBE) on a relaxed structure of Er8Hg4Se3S.

As for the density of states at the Fermi level: 0.566 states/eV per atom. Its crystal system is monoclinic. The formation energy (no corrections) comes out at -1094 meV/atom. For the final energy, the calculation gives -4.36 eV/atom.

a b c (Å): 7.8114 8.8249 7.8091
angles (deg): 116.30 120.01 90.00
Last column: nearest neighbours and their distance in Å.
Fractional positions:
Er 0.2565 0.2697 0.5131  3 Se 2.85, 3 Hg 3.04
Er 0.7492 0.7252 0.9872  1 S 2.79, 2 Se 2.85, 3 Hg 3.05-3.11
Er 0.7620 0.2748 0.5239  1 S 2.79, 2 Se 2.85, 3 Hg 3.05-3.11
Er 0.7620 0.2748 0.0128  1 S 2.79, 2 Se 2.85, 3 Hg 3.05-3.11
Er 0.2380 0.7252 0.9872  1 S 2.79, 2 Se 2.85, 3 Hg 3.05-3.11
Er 0.2508 0.2748 0.0128  1 S 2.79, 2 Se 2.85, 3 Hg 3.05-3.11
Er 0.2380 0.7252 0.4761  1 S 2.79, 2 Se 2.85, 3 Hg 3.05-3.11
Er 0.7435 0.7303 0.4869  3 Se 2.85, 3 Hg 3.04
Se 0.5000 0.5000 0.5000  6 Er 2.85
Se 0.5000 0.5000 0.0000  6 Er 2.85
Se 0.0000 0.5000 0.5000  6 Er 2.85
Hg 0.5000 0.0000 0.0000  6 Er 3.11
Hg 0.5000 0.0000 0.5000  6 Er 3.04-3.05
Hg 0.0000 0.0000 0.5000  6 Er 3.04-3.05
Hg 0.0000 0.0000 0.0000  6 Er 3.04-3.05
S 0.0000 0.5000 0.0000  6 Er 2.79



(3)
VASP calculation (GGA-PBE) on a relaxed structure of Tl3CdGe.

As for the density of states at the Fermi level: 1.218 states/eV per atom. Its crystal system is cubic. Its energy of formation is 0.59 eV/atom. For the final energy, the calculation gives -1.94 eV/atom.

a b c (Å): 5.5995 5.5995 5.5995
angles (deg): 90.00 90.00 90.00
Last column: nearest neighbours and their distance in Å.
Fractional positions:
Cd 0.0000 0.0000 0.0000  6 Tl 2.80
Tl 0.0000 0.5000 0.0000  2 Cd 2.80
Tl 0.5000 0.0000 0.0000  2 Cd 2.80
Tl 0.0000 0.0000 0.5000  2 Cd 2.80
Ge 0.5000 0.5000 0.5000  12 Tl 3.96



no.,volume (Å³/cell)
1,84.38
2,400.52
3,175.57